1.
An optimized crystal structure of BeInTe3. Source: Alexandria, functional PBE.

Cell lengths 5.6656, 5.6656, 5.6656 Å; angles 90.00, 90.00, 90.00 degrees
Closest atoms and distances in Å follow each position.
Space group Pm-3m (No. 221)
One atom of each set of equivalent atoms:
Be 0.0000 0.0000 0.0000 x1  12 Te 4.01
In 0.5000 0.5000 0.5000 x1  6 Te 2.83
Te 0.0000 0.5000 0.5000 x3  2 In 2.83

**Fermi-level density of states**: 1.243 states/eV/atom
**E_tot**: -2.17 eV per atom
**Formation energy from raw total energies**: 1.00 eV per atom
**Crystal system**: cubic
**M_tot**: 0.12 μB/atom
**Offset from the most stable computed form**: 0.805 eV/atom

---

2.
An optimized crystal structure of BeIn2Te. Source: Alexandria, functional PBE.

Cell lengths 3.5752, 3.6849, 15.5709 Å; angles 90.00, 90.00, 90.00 degrees
Closest atoms and distances in Å follow each position.
Space group Immm (No. 71)
One atom of each set of equivalent atoms:
Be 0.0000 0.0000 0.0000 x2  4 Te 2.57
In 0.0000 0.5000 0.3219 x4  2 Be 3.30, 2 Te 3.33, 8 In 3.41-3.68
Te 0.0000 0.0000 0.5000 x2  4 Be 2.57

**Fermi-level density of states**: 0.399 states/eV/atom
**E_tot**: -2.88 eV per atom
**Formation energy from raw total energies**: 0.21 eV per atom
**Crystal system**: orthorhombic
**M_tot**: 0.00 μB/atom
**Offset from the most stable computed form**: 0.146 eV/atom

---

3.
An optimized crystal structure of Be2InTe. Source: Alexandria, functional PBE.

Cell lengths 6.4673, 6.4803, 3.5452 Å; angles 90.00, 90.00, 90.00 degrees
Closest atoms and distances in Å follow each position.
Space group Cmmm (No. 65)
One atom of each set of equivalent atoms:
Be 0.2500 0.2500 0.0000 x4  4 In 2.89, 4 Te 2.89, 4 Be 3.23-3.24
In 0.0000 0.0000 0.5000 x2  8 Be 2.89, 4 Te 3.23-3.24
Te 0.0000 0.5000 0.5000 x2  8 Be 2.89, 4 In 3.23-3.24

**Fermi-level density of states**: 0.324 states/eV/atom
**E_tot**: -2.62 eV per atom
**Formation energy from raw total energies**: 0.71 eV per atom
**Crystal system**: orthorhombic
**M_tot**: 0.00 μB/atom
**Offset from the most stable computed form**: 0.407 eV/atom